Here is InAgH3 after structural relaxation from Alexandria. Energies are from PBE.

Properties
space-group type: Pm-3m, No. 221
total energy: -2.530 eV/atom
theoretical density: 5.882 g cm⁻³
offset from the most stable computed form: 0.1710 eV/atom

abc: 3.994 3.994 3.994
angles: 90.00 90.00 90.00
Sites, in units of the cell vectors:
1 H 0.000 0.000 0.500
2 H 0.000 0.500 0.000
3 H 0.500 0.000 0.000
4 In 0.000 0.000 0.000
5 Ag 0.500 0.500 0.500

Here is Pr8P3CSe4 after structural relaxation from Alexandria. Energies are from PBE.

Properties
space-group type: R-3m, No. 166
total energy: -6.416 eV/atom
theoretical density: 6.132 g cm⁻³
formation energy from raw total energies: -36.1 kcal/mol of atoms

abc: 8.331 8.471 8.331
angles: 119.45 120.00 90.00
Sites, in units of the cell vectors:
1 Se 0.500 0.000 0.000
2 Se 0.500 0.000 0.500
3 Se 0.000 0.000 0.500
4 Se 0.000 0.000 0.000
5 Pr 0.768 0.278 0.536
6 Pr 0.256 0.268 0.512
7 Pr 0.758 0.722 0.990
8 Pr 0.232 0.722 0.990
9 Pr 0.768 0.278 0.010
10 Pr 0.242 0.278 0.010
11 Pr 0.232 0.722 0.464
12 Pr 0.744 0.732 0.488
13 P 0.000 0.500 0.500
14 P 0.500 0.500 0.500
15 P 0.500 0.500 0.000
16 C 0.000 0.500 0.000

Here is Th2PaBe after structural relaxation from Alexandria. Energies are from PBE.

Properties
space-group type: R-3m, No. 166
total energy: -6.484 eV/atom
theoretical density: 11.313 g cm⁻³
energy of formation: 0.5317 eV per atom

abc: 3.302 3.302 11.110
angles: 81.45 81.45 60.00
Sites, in units of the cell vectors:
1 Pa 0.000 0.000 0.000
2 Th 0.099 0.099 0.702
3 Th 0.901 0.901 0.298
4 Be 0.500 0.500 0.500

Here is Cs3Rb2Na3 after structural relaxation from Alexandria. Energies are from PBE.

Properties
space-group type: Cmcm, No. 63
total energy: -1.033 eV/atom
theoretical density: 1.689 g cm⁻³
energy of formation: 0.0235 eV per atom

abc: 6.054 9.846 22.135
angles: 90.00 90.00 107.90
Sites, in units of the cell vectors:
1 Rb 0.229 0.459 0.084
2 Rb 0.771 0.541 0.916
3 Rb 0.229 0.459 0.416
4 Rb 0.771 0.541 0.584
5 Na 0.585 0.170 0.036
6 Na 0.653 0.305 0.750
7 Na 0.415 0.830 0.536
8 Na 0.415 0.830 0.964
9 Na 0.585 0.170 0.464
10 Na 0.347 0.695 0.250
11 Cs 0.942 0.885 0.381
12 Cs 0.638 0.277 0.250
13 Cs 0.058 0.115 0.881
14 Cs 0.942 0.885 0.119
15 Cs 0.362 0.723 0.750
16 Cs 0.058 0.115 0.619

Here is VZn after structural relaxation from Alexandria. Energies are from PBE.

Properties
space-group type: Cmme, No. 67
total energy: -5.223 eV/atom
theoretical density: 6.956 g cm⁻³
energy of formation: -0.0270 eV per atom

abc: 2.593 2.593 8.507
angles: 90.00 90.00 103.73
Sites, in units of the cell vectors:
1 Zn 0.750 0.250 0.128
2 Zn 0.250 0.750 0.872
3 V 0.750 0.250 0.619
4 V 0.250 0.750 0.381

Here is Cd5Hg2Bi after structural relaxation from Alexandria. Energies are from PBE.

Properties
space-group type: Cmcm, No. 63
total energy: -1.093 eV/atom
theoretical density: 9.156 g cm⁻³
energy of formation: 0.0392 eV per atom
offset from the most stable computed form: 0.0000 eV/atom

abc: 5.159 5.159 18.173
angles: 90.00 90.00 118.46
Sites, in units of the cell vectors:
1 Cd 0.918 0.082 0.606
2 Cd 0.918 0.082 0.894
3 Cd 0.875 0.125 0.250
4 Cd 0.411 0.589 0.426
5 Cd 0.082 0.918 0.394
6 Cd 0.589 0.411 0.574
7 Cd 0.411 0.589 0.074
8 Cd 0.125 0.875 0.750
9 Cd 0.082 0.918 0.106
10 Cd 0.589 0.411 0.926
11 Hg 0.252 0.748 0.918
12 Hg 0.748 0.252 0.082
13 Hg 0.252 0.748 0.582
14 Hg 0.748 0.252 0.418
15 Bi 0.539 0.461 0.250
16 Bi 0.461 0.539 0.750

Here is Nd2HoTm after structural relaxation from Alexandria. Energies are from PBE.

Properties
space-group type: R3m, No. 160
total energy: -4.496 eV/atom
theoretical density: 7.781 g cm⁻³
energy of formation: 0.1499 eV per atom
offset from the most stable computed form: 0.1350 eV/atom

abc: 5.728 5.728 5.726
angles: 59.99 59.99 60.00
Sites, in units of the cell vectors:
1 Nd 0.250 0.250 0.251
2 Nd 0.001 0.001 0.998
3 Ho 0.500 0.500 0.501
4 Tm 0.750 0.750 0.749

Here is Al3CdB after structural relaxation from Alexandria. Energies are from PBE.

Properties
space-group type: Pm-3m, No. 221
total energy: -3.456 eV/atom
theoretical density: 4.185 g cm⁻³
energy of formation: 0.3076 eV per atom
offset from the most stable computed form: 0.0000 eV/atom

abc: 4.327 4.327 4.327
angles: 90.00 90.00 90.00
Sites, in units of the cell vectors:
1 Al 0.000 0.500 0.000
2 Al 0.000 0.000 0.500
3 Al 0.500 0.000 0.000
4 Cd 0.500 0.500 0.500
5 B 0.000 0.000 0.000

Please write out number 6 again, unchanged.
Here is Cd5Hg2Bi after structural relaxation from Alexandria. Energies are from PBE.

Properties
space-group type: Cmcm, No. 63
total energy: -1.093 eV/atom
theoretical density: 9.156 g cm⁻³
energy of formation: 0.0392 eV per atom
offset from the most stable computed form: 0.0000 eV/atom

abc: 5.159 5.159 18.173
angles: 90.00 90.00 118.46
Sites, in units of the cell vectors:
1 Cd 0.918 0.082 0.606
2 Cd 0.918 0.082 0.894
3 Cd 0.875 0.125 0.250
4 Cd 0.411 0.589 0.426
5 Cd 0.082 0.918 0.394
6 Cd 0.589 0.411 0.574
7 Cd 0.411 0.589 0.074
8 Cd 0.125 0.875 0.750
9 Cd 0.082 0.918 0.106
10 Cd 0.589 0.411 0.926
11 Hg 0.252 0.748 0.918
12 Hg 0.748 0.252 0.082
13 Hg 0.252 0.748 0.582
14 Hg 0.748 0.252 0.418
15 Bi 0.539 0.461 0.250
16 Bi 0.461 0.539 0.750